# Li2AsIO3, optimized geometry, DFT GGA-PBE
# ΔE_f (raw) ... -118.8 kJ/mol of atoms
data_Li2AsIO3
_cell_length_a 8.171
_cell_length_b 8.171
_cell_length_c 8.171
_cell_angle_alpha 42.61
_cell_angle_beta 42.61
_cell_angle_gamma 42.61
_symmetry_space_group_name_H-M 'P 1'
_symmetry_Int_Tables_number 1
loop_
_symmetry_equiv_pos_as_xyz
'x,y,z'
loop_
_atom_site_label
_atom_site_type_symbol
_atom_site_fract_x
_atom_site_fract_y
_atom_site_fract_z
Li1 Li 0.000 0.000 0.000
Li2 Li 0.000 0.000 0.500
Li3 Li 0.000 0.500 0.000
Li4 Li 0.500 0.000 0.000
As1 As 0.428 0.428 0.428
As2 As 0.572 0.572 0.572
I1 I 0.309 0.309 0.309
I2 I 0.691 0.691 0.691
O1 O 0.230 0.716 0.716
O2 O 0.284 0.284 0.770
O3 O 0.284 0.770 0.284
O4 O 0.716 0.230 0.716
O5 O 0.716 0.716 0.230
O6 O 0.770 0.284 0.284